Record 1
Compound: NdGdErTm
Source: the Alexandria database
Functional: PBE-GGA
Structure: optimized geometry

Results
Space-group type: F-43m, No. 216
DFT formation energy, eV per atom: 0.100
D(E_F), states/eV/f.u.: 7.4
Magnetic moment, μB per cell: 7.566

a b c (Å): 5.678 5.678 5.678
angles (deg): 60.00 60.00 60.00
Sites, in units of the cell vectors:
Nd1 0.000 0.000 0.000
Gd1 0.500 0.500 0.500
Er1 0.250 0.250 0.250
Tm1 0.750 0.750 0.750

---

Record 2
Compound: NdGdYEr
Source: the Alexandria database
Functional: PBE-GGA
Structure: optimized geometry

Results
Space-group type: F-43m, No. 216
DFT formation energy, eV per atom: 0.104
D(E_F), states/eV/f.u.: 8.1
Magnetic moment, μB per cell: 7.746

a b c (Å): 5.713 5.713 5.713
angles (deg): 60.00 60.00 60.00
Sites, in units of the cell vectors:
Nd1 0.000 0.000 0.000
Gd1 0.500 0.500 0.500
Y1 0.250 0.250 0.250
Er1 0.750 0.750 0.750

---

Record 3
Compound: NdGdErZr
Source: the Alexandria database
Functional: PBE-GGA
Structure: optimized geometry

Results
Space-group type: F-43m, No. 216
DFT formation energy, eV per atom: 0.198
D(E_F), states/eV/f.u.: 6.6
Magnetic moment, μB per cell: 8.831

a b c (Å): 5.526 5.526 5.526
angles (deg): 60.00 60.00 60.00
Sites, in units of the cell vectors:
Nd1 0.000 0.000 0.000
Gd1 0.500 0.500 0.500
Er1 0.250 0.250 0.250
Zr1 0.750 0.750 0.750

---

Which formula does entry 1 have?
NdGdErTm